# NaTe3C | Alexandria via LeMat-Bulk | PBE | optimized geometry
# Formation energy from raw total energies in meV per atom: 658
# Energy above the most stable polymorph in this dataset in eV/atom: 0.0000
# Total moment in μB/f.u.: 0.0
data_NaTe3C
_chemical_formula_sum 'Na1 Te3 C1'
_space_group_name_H-M_alt 'P m -3 m'
_space_group_IT_number 221
_space_group_name_Hall '-P 4 2 3'
_cell_length_a 4.924
_cell_length_b 4.924
_cell_length_c 4.924
_cell_angle_alpha 90.00
_cell_angle_beta 90.00
_cell_angle_gamma 90.00
loop_
_atom_site_label
_atom_site_type_symbol
_atom_site_fract_x
_atom_site_fract_y
_atom_site_fract_z
Na1 Na 0.000 0.000 0.000
Te1 Te 0.000 0.500 0.500
C1 C 0.500 0.500 0.500